Below is an optimized crystal structure of PmPrCuSi, with properties calculated at the GGA-PBE level.

The structure belongs to space group Amm2 (No. 38); the cell edges are 4.1938, 4.2653 and 10.8658 Å and the angles 90.00°, 90.00° and 90.00°. The distinct sites, in fractional coordinates, are Pm at (0.0000, 0.0000, 0.0000), Pr at (0.5000, 0.0000, 0.7164), Cu at (0.5000, 0.0000, 0.4191) and Si at (0.0000, 0.0000, 0.2937).

The formation energy (no corrections) is -0.450 eV per atom. For the total energy, the calculation gives -5.21 eV/atom. The value obtained for the offset from the most stable computed form is 0 meV/atom. The value obtained for the size of the total moment is 0.24 μB per formula unit.